1.
{"formula": "KBe2Se", "functional": "PBE", "state": "relaxed", "e_form_raw_ev_per_fu": 0.8, "lattice_angstrom": [[-2.5948, 4.4596, 1.9723], [-4.0362, -3.1999, 1.9956], [5.3354, 1.1600, 0.8233]], "species": ["Se", "Be", "Be", "K"], "fractional_positions": [[0.1438, 0.6438, 0.5000], [0.8565, 0.3565, 0.5000], [0.9867, 0.9867, 0.0000], [0.5130, 0.5130, 0.0000]]}

***

2.
{"formula": "In3SeO", "functional": "PBE", "state": "relaxed", "e_form_raw_ev_per_fu": 3.0, "lattice_angstrom": [[5.6804, 0.0000, 0.0000], [0.0000, 5.6804, 0.0000], [0.0000, 0.0000, 5.6804]], "species": ["Se", "In", "O", "In", "In"], "fractional_positions": [[0.0000, 0.0000, 0.0000], [0.0000, 0.0000, 0.5000], [0.5000, 0.5000, 0.5000], [0.5000, 0.0000, 0.0000], [0.0000, 0.5000, 0.0000]]}

***

3.
{"formula": "Nd2Ho2Cu", "functional": "PBE", "state": "relaxed", "e_form_mev_per_atom": -74, "lattice_angstrom": [[3.4935, 0.0000, -0.5605], [-0.0899, 3.4923, -0.5605], [0.0802, 0.0823, 11.6669]], "species": ["Cu", "Nd", "Ho", "Ho", "Nd"], "fractional_positions": [[0.0000, 0.0000, 0.0000], [0.1912, 0.1912, 0.3825], [0.5729, 0.5729, 0.1459], [0.4271, 0.4271, 0.8541], [0.8088, 0.8088, 0.6175]]}

***

4.
{"formula": "Pr3Ag5O12", "functional": "PBE", "state": "relaxed", "e_form_raw_ev_per_fu": -22.1, "lattice_angstrom": [[-4.5563, -3.2857, -10.0828], [8.5786, -7.1708, 2.8643], [-8.1423, -0.2826, 8.1756]], "species": ["O", "O", "O", "O", "Ag", "O", "O", "O", "O", "Pr", "O", "O", "Pr", "O", "O", "O", "Ag", "Pr", "O", "O", "O", "O", "O", "Pr", "O", "Pr", "O", "Ag", "O", "O", "Pr", "Pr", "Ag", "O", "O", "Ag", "O", "Ag", "O", "O", "Ag", "Ag", "O", "Pr", "O", "O", "O", "O", "Ag", "O", "Ag", "Ag", "O", "Pr", "O", "Ag", "Ag", "Pr", "Ag", "O", "Ag", "O", "O", "Pr", "O", "O", "O", "O", "Pr", "O", "Ag", "O", "Ag", "O", "Ag", "Ag", "Ag", "O", "O", "O"], "fractional_positions": [[0.6643, 0.2054, 0.5759], [0.2946, 0.4241, 0.8357], [0.9241, 0.8357, 0.7946], [0.4589, 0.6643, 0.0885], [0.3750, 0.2500, 0.1250], [0.0885, 0.1643, 0.4589], [0.7946, 0.3357, 0.9241], [0.3357, 0.7946, 0.4241], [0.9115, 0.8357, 0.5411], [0.7500, 0.8750, 0.6250], [0.6296, 0.0411, 0.2054], [0.0759, 0.9115, 0.3704], [0.6250, 0.3750, 0.7500], [0.4115, 0.3704, 0.5759], [0.1296, 0.4241, 0.0885], [0.3357, 0.5411, 0.4115], [0.2500, 0.3750, 0.6250], [0.3750, 0.7500, 0.6250], [0.8704, 0.5759, 0.9115], [0.1643, 0.0759, 0.7054], [0.9589, 0.5885, 0.1643], [0.1643, 0.0885, 0.9589], [0.9115, 0.0759, 0.8704], [0.6250, 0.2500, 0.3750], [0.4241, 0.1296, 0.5885], [0.8750, 0.7500, 0.1250], [0.8357, 0.9241, 0.2946], [0.8750, 0.2500, 0.6250], [0.5759, 0.7054, 0.6643], [0.3704, 0.4115, 0.0759], [0.3750, 0.6250, 0.2500], [0.7500, 0.3750, 0.1250], [0.1250, 0.7500, 0.3750], [0.4589, 0.7946, 0.8704], [0.1296, 0.7054, 0.5411], [0.8750, 0.6250, 0.7500], [0.0885, 0.9241, 0.1296], [0.0000, 0.0000, 0.5000], [0.9589, 0.3704, 0.2946], [0.0759, 0.1643, 0.2054], [0.5000, 0.0000, 0.5000], [0.6250, 0.8750, 0.2500], [0.6643, 0.4589, 0.5885], [0.1250, 0.2500, 0.8750], [0.4115, 0.0411, 0.3357], [0.5411, 0.3357, 0.9115], [0.7054, 0.1296, 0.0411], [0.0411, 0.4115, 0.8357], [0.0000, 0.5000, 0.0000], [0.7054, 0.5759, 0.1643], [0.7500, 0.6250, 0.3750], [0.0000, 0.5000, 0.5000], [0.4241, 0.2946, 0.3357], [0.8750, 0.1250, 0.2500], [0.2946, 0.8704, 0.9589], [0.5000, 0.5000, 0.0000], [0.5000, 0.0000, 0.0000], [0.2500, 0.1250, 0.3750], [0.5000, 0.5000, 0.5000], [0.5411, 0.2054, 0.1296], [0.6250, 0.7500, 0.8750], [0.2054, 0.6643, 0.0759], [0.0411, 0.6296, 0.7054], [0.1250, 0.8750, 0.7500], [0.5885, 0.9589, 0.6643], [0.5759, 0.8704, 0.4115], [0.3704, 0.9589, 0.7946], [0.2054, 0.5411, 0.6296], [0.2500, 0.6250, 0.8750], [0.8704, 0.2946, 0.4589], [0.3750, 0.1250, 0.7500], [0.5885, 0.6296, 0.4241], [0.2500, 0.8750, 0.1250], [0.8357, 0.9115, 0.0411], [0.0000, 0.0000, 0.0000], [0.7500, 0.1250, 0.8750], [0.1250, 0.3750, 0.2500], [0.7946, 0.4589, 0.3704], [0.6296, 0.5885, 0.9241], [0.9241, 0.0885, 0.6296]]}

***

5.
{"formula": "Li2Tb5Hg12", "functional": "PBE", "state": "relaxed", "e_form_mev_per_atom": -318, "lattice_angstrom": [[-5.7842, 5.1565, 5.2244], [-3.1748, -4.8621, -7.0750], [1.9508, -3.8137, 5.9239]], "species": ["Hg", "Li", "Hg", "Hg", "Hg", "Tb", "Tb", "Hg", "Hg", "Tb", "Hg", "Tb", "Li", "Hg", "Tb", "Hg", "Hg", "Hg", "Hg"], "fractional_positions": [[0.6183, 0.7246, 0.5536], [0.2596, 0.0000, 0.0000], [0.4969, 0.9937, 0.2133], [0.6547, 0.7139, 0.1149], [0.3817, 0.2754, 0.4464], [0.2820, 0.5640, 0.7435], [0.6808, 0.3617, 0.7274], [0.3453, 0.2861, 0.8851], [0.0592, 0.7139, 0.1149], [0.3192, 0.6383, 0.2726], [0.9408, 0.2861, 0.8851], [0.7180, 0.4360, 0.2565], [0.7404, 0.0000, 0.0000], [0.1025, 0.2049, 0.1701], [0.0000, 0.0000, 0.5000], [0.1063, 0.7246, 0.5536], [0.8937, 0.2754, 0.4464], [0.5031, 0.0063, 0.7867], [0.8975, 0.7951, 0.8299]]}

***

6.
{"formula": "Tl2CoP", "functional": "PBE", "state": "relaxed", "e_form_mev_per_atom": 59, "lattice_angstrom": [[3.1042, 0.0114, 0.0000], [-0.0116, 3.1042, 0.0000], [0.0000, 0.0000, 8.8668]], "species": ["P", "Co", "Tl", "Tl"], "fractional_positions": [[0.5000, 0.5000, 0.6627], [0.0000, 0.0000, 0.5878], [0.0000, 0.0000, 0.9326], [0.5000, 0.5000, 0.3169]]}

***

7.
{"formula": "Nb5Cu2H4", "functional": "PBE", "state": "relaxed", "final_energy_ev_per_atom": -6.446, "lattice_angstrom": [[-0.6000, 1.6433, -2.1031], [-4.7842, -0.8414, 0.7074], [-12.0812, 4.8137, 8.9869]], "species": ["H", "Cu", "Cu", "H", "H", "Nb", "Nb", "Nb", "Nb", "Nb", "H"], "fractional_positions": [[0.9461, 0.0778, 0.8921], [0.0637, 0.2339, 0.1274], [0.9363, 0.7661, 0.8726], [0.0539, 0.9222, 0.1079], [0.3484, 0.4494, 0.6967], [0.7851, 0.5642, 0.5703], [0.2149, 0.4358, 0.4297], [0.1423, 0.2948, 0.2846], [0.8577, 0.7052, 0.7154], [0.5000, 0.0000, 0.0000], [0.6516, 0.5506, 0.3033]]}

***

8.
{"formula": "MnGaCuTc", "functional": "PBE", "state": "relaxed", "e_form_mev_per_atom": 47, "lattice_angstrom": [[4.2399, 0.0000, 0.0000], [2.1200, 3.6719, 0.0000], [2.1200, 1.2240, 3.4619]], "species": ["Cu", "Mn", "Tc", "Ga"], "fractional_positions": [[0.2500, 0.2500, 0.2500], [0.0000, 0.0000, 0.0000], [0.7500, 0.7500, 0.7500], [0.5000, 0.5000, 0.5000]]}

***

9.
{"formula": "Ac6Sb2AsS3", "functional": "PBE", "state": "relaxed", "e_form_raw_ev_per_fu": -19.7, "lattice_angstrom": [[4.5394, 0.0000, 0.0000], [0.0000, 8.9945, 0.3838], [-2.2697, -2.5324, 9.4919]], "species": ["S", "Sb", "Ac", "Ac", "Ac", "Ac", "As", "Sb", "Ac", "S", "S", "Ac"], "fractional_positions": [[0.8324, 0.1652, 0.6649], [0.8332, 0.6658, 0.6664], [0.6658, 0.0701, 0.3316], [0.0041, 0.7547, 0.0083], [0.9959, 0.2453, 0.9917], [0.6612, 0.5951, 0.3224], [0.5000, 0.0000, 0.0000], [0.1668, 0.3342, 0.3336], [0.3342, 0.9299, 0.6684], [0.1676, 0.8348, 0.3351], [0.5000, 0.5000, 0.0000], [0.3388, 0.4049, 0.6776]]}

***

10.
{"formula": "Er3CoTe2", "functional": "PBE", "state": "relaxed", "e_form_raw_ev_per_fu": -4.9, "lattice_angstrom": [[3.8378, 0.0000, -1.0873], [-0.6239, 5.5028, -2.2020], [0.0575, -0.2119, 7.5194]], "species": ["Er", "Er", "Te", "Te", "Er", "Co"], "fractional_positions": [[0.6309, 0.6309, 0.2618], [0.0000, 0.0000, 0.0000], [0.3186, 0.8186, 0.6372], [0.6814, 0.1814, 0.3628], [0.3691, 0.3691, 0.7382], [0.0000, 0.5000, 0.0000]]}

***

11.
{"formula": "LiLa2TbSe4", "functional": "PBE", "state": "relaxed", "e_form_raw_ev_per_fu": -14.6, "lattice_angstrom": [[4.2028, 0.0000, 0.0000], [0.0000, 7.2042, -0.1166], [0.0000, 2.5596, 6.8225]], "species": ["Li", "Se", "Se", "La", "Se", "Tb", "Se", "La"], "fractional_positions": [[0.5000, 0.5000, 0.0000], [0.0000, 0.7306, 0.7588], [0.0000, 0.2694, 0.2412], [0.0000, 0.0000, 0.0000], [0.5000, 0.2690, 0.7485], [0.0000, 0.5000, 0.5000], [0.5000, 0.7310, 0.2515], [0.5000, 0.0000, 0.5000]]}

***

12.
{"formula": "Al2CdBr", "functional": "PBE", "state": "relaxed", "e_form_raw_ev_per_fu": 0.5, "lattice_angstrom": [[-1.9541, -2.2185, 1.3677], [4.2553, -2.4961, 2.0308], [-0.3247, 2.9122, 4.2599]], "species": ["Al", "Cd", "Br", "Al"], "fractional_positions": [[0.5000, 0.5000, 0.0000], [0.0000, 0.5000, 0.5000], [0.5000, 0.0000, 0.5000], [0.0000, 0.0000, 0.0000]]}